(1)
## Dy6SnP3S2 (PBE-GGA)

Data for an optimized crystal structure of Dy6SnP3S2.

a = 3.996 Å, b = 8.185 Å, c = 9.054 Å
α = 103.05°, β = 102.75°, γ = 90.00°
Sites, in units of the cell vectors:
S 0.830 0.660 0.660
S 0.170 0.340 0.340
Dy 0.674 0.083 0.347
Dy 0.326 0.917 0.653
Dy 0.000 0.269 0.000
Dy 0.335 0.410 0.669
Dy 0.000 0.731 0.000
Dy 0.665 0.590 0.331
P 0.833 0.169 0.667
P 0.500 0.500 0.000
P 0.167 0.831 0.333
Sn 0.500 0.000 0.000

Values from the calculation:
As for the total energy: -75.24 eV/cell. Its uncorrected formation energy is -1.5946 eV per atom.

---

(2)
## CrGa2 (PBE-GGA)

Data for an optimized crystal structure of CrGa2.

a = 2.696 Å, b = 6.184 Å, c = 2.694 Å
α = 90.00°, β = 89.92°, γ = 90.00°
Sites, in units of the cell vectors:
Ga 0.000 0.795 0.000
Ga 0.000 0.205 0.000
Cr 0.500 0.500 0.500

Values from the calculation:
As for the total energy: -15.60 eV/cell.